Density functional theory data (PBE-GGA) for an optimized crystal structure of ThNpFe2.

Cell: 4.1447 4.1447 15.5390 Å, 90.00 90.00 120.00°
Last column: nearest neighbours and their distance in Å.
Space group R-3m (No. 166, hexagonal axes)
Unique sites:
Th1 0.0000 0.0000 0.0000 x3  8 Fe 3.13-3.16
Np1 0.0000 0.0000 0.5000 x3  6 Fe 2.46
Fe1 0.0000 0.0000 0.2036 x6  3 Np 2.46, 3 Fe 2.65

Total magnetic moment   0.4626 μB/atom
ΔH_f (0 K)   -0.081 eV per atom

Density functional theory data (PBE-GGA) for an optimized crystal structure of ThNpFe4.

Cell: 7.2382 7.2382 7.2382 Å, 90.00 90.00 90.00°
Last column: nearest neighbours and their distance in Å.
Space group F-43m (No. 216)
Unique sites:
Th1 0.0000 0.0000 0.0000 x4  12 Fe 3.00, 4 Np 3.13
Np1 0.2500 0.2500 0.2500 x4  12 Fe 3.00, 4 Th 3.13
Fe1 0.1242 0.1242 0.6242 x16  6 Fe 2.54-2.58

Total magnetic moment   0.4916 μB/atom
ΔH_f (0 K)   -0.021 eV per atom

Density functional theory data (PBE-GGA) for an optimized crystal structure of Th2NpFe.

Cell: 3.6546 3.6546 29.3875 Å, 90.00 90.00 120.00°
Last column: nearest neighbours and their distance in Å.
Space group R-3m (No. 166, hexagonal axes)
Unique sites:
Th1 0.0000 0.0000 0.1112 x6  3 Fe 2.67
Np1 0.0000 0.0000 0.0000 x3  2 Th 3.27, 6 Np 3.65
Fe1 0.0000 0.0000 0.5000 x3  6 Th 2.67

Total magnetic moment   1.2691 μB/atom
ΔH_f (0 K)   0.575 eV per atom

Density functional theory data (PBE-GGA) for an optimized crystal structure of ThNpFe10.

Cell: 4.1123 4.9093 8.5567 Å, 90.00 90.00 90.00°
Last column: nearest neighbours and their distance in Å.
Space group Pmmm (No. 47)
Unique sites:
Th1 0.0000 0.0000 0.0000 x1  18 Fe 2.95-3.21
Np1 0.0000 0.5000 0.5000 x1  2 Fe 2.45
Fe1 0.0000 0.0000 0.3443 x2  9 Fe 2.45-2.70
Fe2 0.0000 0.5000 0.2132 x2  6 Fe 2.42-2.70, 1 Np 2.45
Fe3 0.5000 0.0000 0.5000 x1  8 Fe 2.45
Fe4 0.5000 0.2466 0.2504 x4  8 Fe 2.42-2.52
Fe5 0.5000 0.5000 0.0000 x1  8 Fe 2.48-2.75

Total magnetic moment   1.3478 μB/atom
ΔH_f (0 K)   -0.001 eV per atom

Density functional theory data (PBE-GGA) for an optimized crystal structure of NpTiFe.

Cell: 4.5421 9.6574 4.1685 Å, 90.00 90.00 90.00°
Last column: nearest neighbours and their distance in Å.
Space group Cmcm (No. 63)
Unique sites:
Np1 0.0000 0.0707 0.2500 x4  2 Np 2.49, 2 Fe 2.74
Ti1 0.0000 0.3978 0.2500 x4  4 Fe 2.50-2.71
Fe1 0.0000 0.2552 0.7500 x4  4 Ti 2.50-2.71, 2 Np 2.74

Total magnetic moment   0.0366 μB/atom
ΔH_f (0 K)   0.006 eV per atom

Density functional theory data (PBE-GGA) for an optimized crystal structure of NpTiFe4.

Cell: 6.9419 6.9419 6.9419 Å, 90.00 90.00 90.00°
Last column: nearest neighbours and their distance in Å.
Space group F-43m (No. 216)
Unique sites:
Np1 0.0000 0.0000 0.0000 x4  12 Fe 2.88, 4 Ti 3.01
Ti1 0.2500 0.2500 0.7500 x4  12 Fe 2.88, 4 Np 3.01
Fe1 0.1243 0.1243 0.3757 x16  6 Fe 2.44-2.47

Total magnetic moment   0.3782 μB/atom
ΔH_f (0 K)   -0.045 eV per atom